A plane-wave DFT calculation with GGA-PBE was carried out for a relaxed structure of La5NdDy2.

Structure (CIF):
```
data_La5NdDy2
_symmetry_space_group_name_H-M 'C m c m'
_symmetry_Int_Tables_number 63
_symmetry_space_group_name_Hall '-C 2c 2'
_cell_length_a 5.2956
_cell_length_b 11.3340
_cell_length_c 18.9886
_cell_angle_alpha 90.00
_cell_angle_beta 90.00
_cell_angle_gamma 90.00
loop_
_atom_site_label
_atom_site_fract_x
_atom_site_fract_y
_atom_site_fract_z
La1 0.0000 0.0514 0.0843
La2 0.0000 0.3449 0.0369
La3 0.0000 0.4277 0.2500
Nd1 0.0000 0.1239 0.2500
Dy1 0.0000 0.2543 0.6561
```

Values from the calculation:
ΔE_f   92 meV/atom